4
Lattice="4.629 0.000 0.000 0.000 4.629 0.000 0.000 0.000 4.629" Properties=species:S:1:pos:R:3 comment="Pu3Pb | Alexandria | GGA-PBEsol | optimized geometry" delta_e_f_mev_per_atom=356 magnetic_moment_mub_per_cell=17.2 dos_at_fermi_per_ev_atom=4.04 final_energy_ev_per_atom=-12.01 spacegroup="No. 221" pbc="T T T"
Pu 0.000 2.314 2.314
Pu 2.314 2.314 0.000
Pb 0.000 0.000 0.000
Pu 2.314 0.000 2.314



32
Lattice="11.758 0.000 0.000 -5.879 11.295 -0.005 0.000 6.125 10.037" Properties=species:S:1:pos:R:3 comment="RbPb | Alexandria | GGA-PBEsol | optimized geometry" delta_e_f_mev_per_atom=-222 magnetic_moment_mub_per_cell=0.0 final_energy_ev_per_atom=-2.73 spacegroup="No. 142" pbc="T T T"
Rb 4.277 3.589 1.253
Pb 1.364 5.854 2.469
Pb 5.157 11.900 8.111
Pb 4.516 8.916 7.488
Rb 7.300 6.439 1.294
Pb 7.243 3.635 3.823
Pb 10.395 6.697 8.842
Rb -1.421 9.501 6.313
Rb 2.940 11.465 4.902
Rb -2.940 13.134 7.637
Pb 6.602 10.480 5.783
Rb 7.481 6.652 6.272
Pb 0.722 8.838 3.092
Pb -5.157 15.761 9.448
Pb 1.364 1.325 0.038
Pb 0.722 14.119 6.757
Rb -2.940 10.071 2.619
Rb 10.156 3.589 1.253
Pb 7.243 9.669 8.721
Rb 1.421 2.322 3.806
Pb -0.722 12.699 4.429
Rb 4.459 7.919 3.720
Rb 4.459 5.385 8.825
Rb 7.300 0.740 1.213
Rb 2.940 14.527 9.921
Pb 4.516 4.387 5.056
Rb 1.602 6.652 6.272
Rb 10.338 3.802 6.231
Pb 5.157 11.057 1.738
Rb 1.421 10.981 8.738
Pb -0.722 7.417 0.764
Pb -1.364 6.606 3.702



5
Lattice="5.832 0.000 0.000 0.000 5.832 0.000 0.000 0.000 5.832" Properties=species:S:1:pos:R:3 comment="Rb3RhPb | Alexandria | GGA-PBEsol | optimized geometry" delta_e_f_mev_per_atom=730 magnetic_moment_mub_per_cell=1.5 dos_at_fermi_per_ev_atom=1.33 final_energy_ev_per_atom=-2.31 spacegroup="No. 221" pbc="T T T"
Pb 2.916 2.916 2.916
Rb 2.916 0.000 0.000
Rb 0.000 0.000 2.916
Rh 0.000 0.000 0.000
Rb 0.000 2.916 0.000



8
Lattice="-1.243 3.635 6.491 -2.019 -6.965 -0.867 3.445 -5.551 3.769" Properties=species:S:1:pos:R:3 comment="RbPbS2 | Alexandria | GGA-PBEsol | optimized geometry" magnetic_moment_mub_per_cell=0.0 formation_energy_uncorrected_ev_per_atom=-0.5577 dos_at_fermi_per_ev_atom=0.62 final_energy_ev_per_atom=-4.01 spacegroup="No. 122" pbc="T T T"
S -0.792 -0.667 2.413
S -1.089 -4.768 5.293
Rb -0.459 -3.962 2.131
Pb 0.000 0.000 0.000
S 1.436 -9.892 2.984
Pb 0.643 -4.920 7.261
S 0.813 -2.436 8.093
Rb 1.101 -0.958 5.130



5
Lattice="5.353 0.000 0.000 0.000 5.353 0.000 -2.676 -2.676 5.278" Properties=species:S:1:pos:R:3 comment="RbPb2S2 | Alexandria | GGA-PBEsol | optimized geometry" magnetic_moment_mub_per_cell=0.0 formation_energy_uncorrected_ev_per_atom=-0.5377 dos_at_fermi_per_ev_atom=0.19 final_energy_ev_per_atom=-4.10 spacegroup="No. 139" pbc="T T T"
Pb 0.000 0.000 3.607
S 0.000 2.676 2.639
S 2.676 0.000 2.639
Rb 0.000 0.000 0.000
Pb 2.676 2.676 1.672



10
Lattice="-3.910 -2.957 3.013 5.565 -1.610 5.641 -2.056 6.747 3.954" Properties=species:S:1:pos:R:3 comment="Rb2Sb2Pb | Alexandria | GGA-PBEsol | optimized geometry" magnetic_moment_mub_per_cell=0.0 formation_energy_uncorrected_ev_per_atom=-0.2720 dos_at_fermi_per_ev_atom=0.47 final_energy_ev_per_atom=-3.30 spacegroup="No. 127" pbc="T T T"
Sb 3.215 -0.172 4.002
Sb -0.089 2.344 2.185
Pb 0.000 0.000 0.000
Pb 1.754 2.568 4.798
Sb 3.598 2.793 7.410
Rb -2.366 2.798 5.170
Rb 0.111 2.994 8.578
Sb 0.294 5.309 5.593
Rb 1.965 -0.618 7.438
Rb -0.512 -0.814 4.030



5
Lattice="-1.466 2.844 3.913 -4.634 -1.998 -0.284 4.796 -5.042 2.197" Properties=species:S:1:pos:R:3 comment="RbSc2Pb2 | Alexandria | GGA-PBEsol | optimized geometry" delta_e_f_mev_per_atom=-109 magnetic_moment_mub_per_cell=0.0 dos_at_fermi_per_ev_atom=0.78 final_energy_ev_per_atom=-4.56 spacegroup="No. 139" pbc="T T T"
Sc 0.140 -0.887 3.962
Pb -2.603 -0.760 2.842
Sc -1.444 -3.308 1.864
Rb 0.000 0.000 0.000
Pb 1.299 -3.436 2.984



5
Lattice="5.568 0.000 0.000 0.000 5.568 0.000 -2.784 -2.784 5.305" Properties=species:S:1:pos:R:3 comment="RbPb2Se2 | Alexandria | GGA-PBEsol | optimized geometry" magnetic_moment_mub_per_cell=0.0 formation_energy_uncorrected_ev_per_atom=-0.5547 dos_at_fermi_per_ev_atom=0.21 final_energy_ev_per_atom=-3.90 spacegroup="No. 139" pbc="T T T"
Rb 0.000 0.000 0.000
Se 0.000 2.784 2.653
Se 2.784 0.000 2.653
Pb 2.784 2.784 1.638
Pb 0.000 0.000 3.668